(A)
First-principles (GGA-PBE) data for a geometry-optimized CaZnHg3 structure, as listed in Alexandria.

a = 5.165 Å, b = 5.165 Å, c = 5.165 Å
α = 90.00°, β = 90.00°, γ = 90.00°
Space group Pm-3m (No. 221)
Inequivalent atoms, fractional coordinates:
Ca 0.000 0.000 0.000 x1
Zn 0.500 0.500 0.500 x1
Hg 0.000 0.500 0.500 x3


(B)
First-principles (GGA-PBE) data for a geometry-optimized CaZnHg3 structure, as listed in Alexandria.

a = 6.150 Å, b = 6.150 Å, c = 6.150 Å
α = 90.00°, β = 90.00°, γ = 90.00°
Space group Pm-3m (No. 221)
Inequivalent atoms, fractional coordinates:
Ca 0.000 0.000 0.000 x1
Zn 0.500 0.500 0.500 x1
Hg 0.000 0.000 0.500 x3


(C)
First-principles (GGA-PBE) data for a geometry-optimized CaZnHg3 structure, as listed in Alexandria.

a = 6.1487 Å, b = 6.1487 Å, c = 12.0337 Å
α = 90.00°, β = 90.00°, γ = 120.00°
Space group R3m (No. 160, hexagonal axes)
Inequivalent atoms, fractional coordinates:
Ca 0.0000 0.0000 0.0000 x3
Zn 0.0000 0.0000 0.7473 x3
Hg 0.0015 0.5008 0.8901 x9


(D)
First-principles (GGA-PBE) data for a geometry-optimized CaZnHg3 structure, as listed in Alexandria.

a = 4.465 Å, b = 4.465 Å, c = 12.410 Å
α = 90.00°, β = 90.00°, γ = 90.00°
Space group I4mm (No. 107)
Inequivalent atoms, fractional coordinates:
Ca 0.000 0.000 0.000 x2
Zn 0.000 0.000 0.605 x2
Hg 0.000 0.000 0.397 x2
Hg 0.000 0.500 0.233 x4


Relative energies with respect to the most stable structure, expressed in eV/atom: (A) 0.129; (B) 0.510; (C) 0.078; (D) 0.000.


(A)
First-principles (GGA-PBE) data for a geometry-optimized Ca2ZnHg8 structure, as listed in Alexandria.

a = 4.752 Å, b = 4.752 Å, c = 12.324 Å
α = 90.00°, β = 90.00°, γ = 90.00°
Space group P4/mmm (No. 123)
Inequivalent atoms, fractional coordinates:
Ca 0.000 0.000 0.192 x2
Zn 0.000 0.000 0.500 x1
Hg 0.000 0.500 0.000 x2
Hg 0.000 0.500 0.373 x4
Hg 0.500 0.500 0.197 x2


(B)
First-principles (GGA-PBE) data for a geometry-optimized Ca2ZnHg8 structure, as listed in Alexandria.

a = 17.611 Å, b = 5.060 Å, c = 6.711 Å
α = 90.00°, β = 111.27°, γ = 90.00°
Space group C2/m (No. 12)
Inequivalent atoms, fractional coordinates:
Ca 0.204 0.000 0.199 x4
Zn 0.000 0.500 0.500 x2
Hg 0.003 0.000 0.233 x4
Hg 0.122 0.500 0.899 x4
Hg 0.130 0.500 0.363 x4
Hg 0.171 0.000 0.673 x4


Relative energies with respect to the most stable structure, expressed in eV/atom: (A) 0.000; (B) 0.020.


(A)
First-principles (GGA-PBE) data for a geometry-optimized Ca2ZnHg6 structure, as listed in Alexandria.

a = 7.079 Å, b = 6.760 Å, c = 11.183 Å
α = 90.00°, β = 120.91°, γ = 90.00°
Space group P2_1/c (No. 14)
Inequivalent atoms, fractional coordinates:
Ca 0.170 0.013 0.230 x4
Zn 0.000 0.000 0.500 x2
Hg 0.270 0.212 0.004 x4
Hg 0.317 0.512 0.273 x4
Hg 0.322 0.735 0.018 x4


(B)
First-principles (GGA-PBE) data for a geometry-optimized Ca2ZnHg6 structure, as listed in Alexandria.

a = 8.176 Å, b = 14.826 Å, c = 3.877 Å
α = 90.00°, β = 90.00°, γ = 90.00°
Space group Cmmm (No. 65)
Inequivalent atoms, fractional coordinates:
Ca 0.000 0.201 0.000 x4
Zn 0.000 0.500 0.500 x2
Hg 0.184 0.000 0.000 x4
Hg 0.191 0.349 0.500 x8


Relative energies with respect to the most stable structure, expressed in eV/atom: (A) 0.000; (B) 0.022.


(A)
First-principles (GGA-PBE) data for a geometry-optimized CaZn3Hg structure, as listed in Alexandria.

a = 5.965 Å, b = 5.965 Å, c = 5.965 Å
α = 90.00°, β = 90.00°, γ = 90.00°
Space group Pm-3m (No. 221)
Inequivalent atoms, fractional coordinates:
Ca 0.000 0.000 0.000 x1
Zn 0.000 0.000 0.500 x3
Hg 0.500 0.500 0.500 x1


(B)
First-principles (GGA-PBE) data for a geometry-optimized CaZn3Hg structure, as listed in Alexandria.

a = 5.046 Å, b = 5.046 Å, c = 5.046 Å
α = 90.00°, β = 90.00°, γ = 90.00°
Space group Pm-3m (No. 221)
Inequivalent atoms, fractional coordinates:
Ca 0.000 0.000 0.000 x1
Zn 0.000 0.500 0.500 x3
Hg 0.500 0.500 0.500 x1


(C)
First-principles (GGA-PBE) data for a geometry-optimized CaZn3Hg structure, as listed in Alexandria.

a = 6.419 Å, b = 10.819 Å, c = 6.082 Å
α = 90.00°, β = 90.00°, γ = 90.00°
Space group Cmcm (No. 63)
Inequivalent atoms, fractional coordinates:
Ca 0.000 0.238 0.250 x4
Zn 0.000 0.354 0.750 x4
Zn 0.204 0.500 0.000 x8
Hg 0.000 0.111 0.750 x4


Relative energies with respect to the most stable structure, expressed in eV/atom: (A) 0.841; (B) 0.410; (C) 0.000.


(A)
First-principles (GGA-PBE) data for a geometry-optimized Ca3ZrHg structure, as listed in Alexandria.

a = 5.733 Å, b = 5.733 Å, c = 5.733 Å
α = 90.00°, β = 90.00°, γ = 90.00°
Space group Pm-3m (No. 221)
Inequivalent atoms, fractional coordinates:
Ca 0.000 0.000 0.500 x3
Zr 0.000 0.000 0.000 x1
Hg 0.500 0.500 0.500 x1


(B)
First-principles (GGA-PBE) data for a geometry-optimized Ca3ZrHg structure, as listed in Alexandria.

a = 5.754 Å, b = 5.754 Å, c = 5.754 Å
α = 90.00°, β = 90.00°, γ = 90.00°
Space group Pm-3m (No. 221)
Inequivalent atoms, fractional coordinates:
Ca 0.000 0.000 0.500 x3
Zr 0.500 0.500 0.500 x1
Hg 0.000 0.000 0.000 x1


Relative energies with respect to the most stable structure, expressed in eV/atom: (A) 0.363; (B) 0.000.